DFT (PBE) results for crystalline PaFe10B3 at its relaxed geometry.

Output
- DFT total energy (eV per cell) = -233.8
- formation energy (eV per atom) = -0.197
- N(E_F) (states/eV/f.u.) = 12.20
- magnetic moment (μB per formula unit) = 18.1

Unit cell a=7.589 b=7.589 c=7.589 alpha=60.00 beta=60.00 gamma=60.00
Fractional coordinates of all 28 atoms:
Pa: 0.250 0.250 0.250
Pa: 0.750 0.750 0.750
Fe: 0.000 0.000 0.332
Fe: 0.000 0.000 0.668
Fe: 0.000 0.332 0.000
Fe: 0.000 0.332 0.668
Fe: 0.000 0.668 0.000
Fe: 0.000 0.668 0.332
Fe: 0.149 0.617 0.617
Fe: 0.332 0.000 0.000
Fe: 0.332 0.000 0.668
Fe: 0.332 0.668 0.000
Fe: 0.383 0.383 0.383
Fe: 0.383 0.383 0.851
Fe: 0.383 0.851 0.383
Fe: 0.617 0.149 0.617
Fe: 0.617 0.617 0.149
Fe: 0.617 0.617 0.617
Fe: 0.668 0.000 0.000
Fe: 0.668 0.000 0.332
Fe: 0.668 0.332 0.000
Fe: 0.851 0.383 0.383
B: 0.275 0.275 0.725
B: 0.275 0.725 0.275
B: 0.275 0.725 0.725
B: 0.725 0.275 0.275
B: 0.725 0.275 0.725
B: 0.725 0.725 0.275